[1]
# BiCS2 | Alexandria via LeMat-Bulk | PBE | optimized geometry
# Formation energy from raw total energies in eV per atom: 1.54
data_BiCS2
_space_group_name_H-M_alt 'F m -3 m'
_space_group_IT_number 225
_space_group_name_Hall '-F 4 2 3'
_cell_length_a 6.626
_cell_length_b 6.626
_cell_length_c 6.626
_cell_angle_alpha 90.00
_cell_angle_beta 90.00
_cell_angle_gamma 90.00
loop_
_atom_site_label
_atom_site_type_symbol
_atom_site_fract_x
_atom_site_fract_y
_atom_site_fract_z
Bi1 Bi 0.000 0.000 0.000
C1 C 0.000 0.000 0.500
S1 S 0.250 0.250 0.250

---

[2]
# BiCS2 | Alexandria via LeMat-Bulk | PBE | optimized geometry
# Formation energy from raw total energies in eV per atom: 0.98
data_BiCS2
_space_group_name_H-M_alt 'I -4 2 d'
_space_group_IT_number 122
_space_group_name_Hall 'I -4 2bw'
_cell_length_a 5.772
_cell_length_b 5.772
_cell_length_c 9.527
_cell_angle_alpha 90.00
_cell_angle_beta 90.00
_cell_angle_gamma 90.00
loop_
_atom_site_label
_atom_site_type_symbol
_atom_site_fract_x
_atom_site_fract_y
_atom_site_fract_z
Bi1 Bi 0.000 0.000 0.000
C1 C 0.000 0.000 0.500
S1 S 0.102 0.250 0.625

---

[3]
# Bi2CS | Alexandria via LeMat-Bulk | PBE | optimized geometry
# Formation energy from raw total energies in eV per atom: 1.22
data_Bi2CS
_space_group_name_H-M_alt 'F m -3 m'
_space_group_IT_number 225
_space_group_name_Hall '-F 4 2 3'
_cell_length_a 6.876
_cell_length_b 6.876
_cell_length_c 6.876
_cell_angle_alpha 90.00
_cell_angle_beta 90.00
_cell_angle_gamma 90.00
loop_
_atom_site_label
_atom_site_type_symbol
_atom_site_fract_x
_atom_site_fract_y
_atom_site_fract_z
Bi1 Bi 0.250 0.250 0.250
C1 C 0.000 0.000 0.000
S1 S 0.000 0.000 0.500

---

[4]
# BiCS2 | Alexandria via LeMat-Bulk | PBE | optimized geometry
# Formation energy from raw total energies in eV per atom: 1.20
data_BiCS2
_space_group_name_H-M_alt 'R -3 m'
_space_group_IT_number 166
_space_group_name_Hall '-R 3 2"'
_cell_length_a 3.2738
_cell_length_b 3.2738
_cell_length_c 23.9577
_cell_angle_alpha 90.00
_cell_angle_beta 90.00
_cell_angle_gamma 120.00
loop_
_atom_site_label
_atom_site_type_symbol
_atom_site_fract_x
_atom_site_fract_y
_atom_site_fract_z
Bi1 Bi 0.0000 0.0000 0.0000
C1 C 0.0000 0.0000 0.5000
S1 S 0.0000 0.0000 0.1170

---

[5]
# BiCS3 | Alexandria via LeMat-Bulk | PBE | optimized geometry
# Formation energy from raw total energies in eV per atom: 2.15
data_BiCS3
_space_group_name_H-M_alt 'P m -3 m'
_space_group_IT_number 221
_space_group_name_Hall '-P 4 2 3'
_cell_length_a 5.202
_cell_length_b 5.202
_cell_length_c 5.202
_cell_angle_alpha 90.00
_cell_angle_beta 90.00
_cell_angle_gamma 90.00
loop_
_atom_site_label
_atom_site_type_symbol
_atom_site_fract_x
_atom_site_fract_y
_atom_site_fract_z
Bi1 Bi 0.000 0.000 0.000
C1 C 0.500 0.500 0.500
S1 S 0.000 0.000 0.500

---

[6]
# BiC3S | Alexandria via LeMat-Bulk | PBE | optimized geometry
# Formation energy from raw total energies in eV per atom: 2.49
data_BiC3S
_space_group_name_H-M_alt 'P m -3 m'
_space_group_IT_number 221
_space_group_name_Hall '-P 4 2 3'
_cell_length_a 3.854
_cell_length_b 3.854
_cell_length_c 3.854
_cell_angle_alpha 90.00
_cell_angle_beta 90.00
_cell_angle_gamma 90.00
loop_
_atom_site_label
_atom_site_type_symbol
_atom_site_fract_x
_atom_site_fract_y
_atom_site_fract_z
Bi1 Bi 0.000 0.000 0.000
C1 C 0.000 0.500 0.500
S1 S 0.500 0.500 0.500

---

[7]
# BiCS3 | Alexandria via LeMat-Bulk | PBE | optimized geometry
# Formation energy from raw total energies in eV per atom: 0.90
data_BiCS3
_space_group_name_H-M_alt 'P m -3 m'
_space_group_IT_number 221
_space_group_name_Hall '-P 4 2 3'
_cell_length_a 4.322
_cell_length_b 4.322
_cell_length_c 4.322
_cell_angle_alpha 90.00
_cell_angle_beta 90.00
_cell_angle_gamma 90.00
loop_
_atom_site_label
_atom_site_type_symbol
_atom_site_fract_x
_atom_site_fract_y
_atom_site_fract_z
Bi1 Bi 0.000 0.000 0.000
C1 C 0.500 0.500 0.500
S1 S 0.000 0.500 0.500

---

[8]
# BiC3S | Alexandria via LeMat-Bulk | PBE | optimized geometry
# Formation energy from raw total energies in eV per atom: 3.58
data_BiC3S
_space_group_name_H-M_alt 'P m -3 m'
_space_group_IT_number 221
_space_group_name_Hall '-P 4 2 3'
_cell_length_a 4.545
_cell_length_b 4.545
_cell_length_c 4.545
_cell_angle_alpha 90.00
_cell_angle_beta 90.00
_cell_angle_gamma 90.00
loop_
_atom_site_label
_atom_site_type_symbol
_atom_site_fract_x
_atom_site_fract_y
_atom_site_fract_z
Bi1 Bi 0.000 0.000 0.000
C1 C 0.000 0.000 0.500
S1 S 0.500 0.500 0.500

---

[9]
# BiC2S | Alexandria via LeMat-Bulk | PBE | optimized geometry
# Formation energy from raw total energies in eV per atom: 1.72
data_BiC2S
_space_group_name_H-M_alt 'I -4 2 d'
_space_group_IT_number 122
_space_group_name_Hall 'I -4 2bw'
_cell_length_a 5.437
_cell_length_b 5.437
_cell_length_c 7.652
_cell_angle_alpha 90.00
_cell_angle_beta 90.00
_cell_angle_gamma 90.00
loop_
_atom_site_label
_atom_site_type_symbol
_atom_site_fract_x
_atom_site_fract_y
_atom_site_fract_z
Bi1 Bi 0.000 0.000 0.000
C1 C 0.128 0.250 0.625
S1 S 0.000 0.000 0.500

---

[10]
# Bi2SbCS | Alexandria via LeMat-Bulk | PBE | optimized geometry
# Formation energy from raw total energies in eV per atom: 1.43
data_Bi2SbCS
_space_group_name_H-M_alt 'P 4/m m m'
_space_group_IT_number 123
_space_group_name_Hall '-P 4 2'
_cell_length_a 5.915
_cell_length_b 5.915
_cell_length_c 4.067
_cell_angle_alpha 90.00
_cell_angle_beta 90.00
_cell_angle_gamma 90.00
loop_
_atom_site_label
_atom_site_type_symbol
_atom_site_fract_x
_atom_site_fract_y
_atom_site_fract_z
Bi1 Bi 0.000 0.500 0.000
Sb1 Sb 0.000 0.000 0.000
C1 C 0.000 0.000 0.500
S1 S 0.500 0.500 0.500

---

[11]
# BiTe2CS | Alexandria via LeMat-Bulk | PBE | optimized geometry
# Formation energy from raw total energies in eV per atom: 0.93
data_BiTe2CS
_space_group_name_H-M_alt 'P 4/m m m'
_space_group_IT_number 123
_space_group_name_Hall '-P 4 2'
_cell_length_a 4.764
_cell_length_b 4.764
_cell_length_c 4.736
_cell_angle_alpha 90.00
_cell_angle_beta 90.00
_cell_angle_gamma 90.00
loop_
_atom_site_label
_atom_site_type_symbol
_atom_site_fract_x
_atom_site_fract_y
_atom_site_fract_z
Bi1 Bi 0.000 0.000 0.000
Te1 Te 0.000 0.500 0.500
C1 C 0.500 0.500 0.500
S1 S 0.500 0.500 0.000

---

[12]
# Th4BiCS2 | Alexandria via LeMat-Bulk | PBE | optimized geometry
# Formation energy from raw total energies in eV per atom: -0.81
data_Th4BiCS2
_space_group_name_H-M_alt 'I 2 2 2'
_space_group_IT_number 23
_cell_length_a 7.157
_cell_length_b 7.677
_cell_length_c 8.026
_cell_angle_alpha 90.00
_cell_angle_beta 90.00
_cell_angle_gamma 90.00
loop_
_space_group_symop_operation_xyz
'x,y,z'
'-x,-y,z'
'x,-y,-z'
'-x,y,-z'
'x+1/2,y+1/2,z+1/2'
'-x+1/2,-y+1/2,z+1/2'
'x+1/2,-y+1/2,-z+1/2'
'-x+1/2,y+1/2,-z+1/2'
loop_
_atom_site_label
_atom_site_type_symbol
_atom_site_fract_x
_atom_site_fract_y
_atom_site_fract_z
Th1 Th 0.178 0.205 0.342
Bi1 Bi 0.000 0.000 0.000
C1 C 0.000 0.000 0.500
S1 S 0.000 0.500 0.213

---

Among the records above, which one has the highest formation energy from raw total energies?
number 8

---

Which of these has the lowest formation energy from raw total energies?
Th4BiCS2

---

The lowest formation energy from raw total energies belongs to which entry?
Th4BiCS2